Entry 1:
A plane-wave DFT calculation with PBE was carried out for crystalline Pm5Sc2Ge4 at its relaxed geometry.

Calculated values
E_form: -12.946 kcal/mol of atoms
N(E_F): 0.82 states/eV/atom

a b c (Å): 4.2181 7.1898 19.8251
angles (deg): 90.00 90.00 90.00
Closest atoms and distances in Å follow each position.
Space group Immm (No. 71)
Symmetry-distinct sites (fractional):
Pm 0.0000 0.0000 0.0000 (multiplicity 2)  4 Ge 3.06
Pm 0.0000 0.2690 0.3355 (multiplicity 8)  4 Ge 2.99-3.31, 1 Pm 3.32
Sc 0.0000 0.5000 0.0725 (multiplicity 4)  5 Ge 2.69-2.90, 1 Sc 2.87
Ge 0.0000 0.1923 0.5000 (multiplicity 4)  1 Ge 2.76, 4 Sc 2.90, 2 Pm 3.06
Ge 0.0000 0.5000 0.2082 (multiplicity 4)  1 Sc 2.69, 4 Pm 2.99

Entry 2:
A plane-wave DFT calculation with PBE was carried out for crystalline InAuBr2 at its relaxed geometry.

Calculated values
uncorrected formation energy: -104 meV/atom
distance to the lowest polymorph of the same formula: 309 meV/atom
N(E_F): 0.31 states/eV/atom

a b c (Å): 7.2238 8.2778 5.2961
angles (deg): 90.00 129.11 90.00
Closest atoms and distances in Å follow each position.
Space group C2/m (No. 12)
Symmetry-distinct sites (fractional):
In 0.0000 0.0000 0.0000 (multiplicity 2)  4 Br 2.92
Au 0.0000 0.5000 0.0000 (multiplicity 2)  4 Br 2.92
Br 0.2500 0.2500 0.5000 (multiplicity 4)  2 In 2.92, 2 Au 2.92

Entry 3:
A plane-wave DFT calculation with PBE was carried out for crystalline BeCo2B at its relaxed geometry.

Calculated values
E_form: 2.947 kcal/mol of atoms
distance to the lowest polymorph of the same formula: 472 meV/atom
N(E_F): 0.76 states/eV/atom

a b c (Å): 5.7598 5.7598 4.5034
angles (deg): 90.00 90.00 90.00
Closest atoms and distances in Å follow each position.
Space group I-42d (No. 122)
Symmetry-distinct sites (fractional):
Be 0.0000 0.0000 0.0000 (multiplicity 4)  2 B 2.25, 8 Co 2.37-2.47
Co 0.1880 0.7500 0.6250 (multiplicity 8)  2 B 1.89
B 0.0000 0.0000 0.5000 (multiplicity 4)  4 Co 1.89